Computed, not measured: a geometry-optimized MnNb2C structure at the GGA-PBE level of DFT. Values from VASP.

Quantum ESPRESSO input file:
```
&SYSTEM
  ibrav = 0, nat = 4, ntyp = 3
/
ATOMIC_SPECIES
Nb 92.91 Nb.upf
Mn 54.94 Mn.upf
C 12.01 C.upf
ATOMIC_POSITIONS angstrom
Nb 1.490 1.490 1.490
Nb 4.471 4.471 4.471
Mn 2.981 2.981 2.981
C 0.000 0.000 0.000
CELL_PARAMETERS angstrom
0.000 2.981 2.981
2.981 0.000 2.981
2.981 2.981 0.000
```

Computed properties:
density of states at the Fermi level = 4.81 states/eV/cell
relative energy among the computed polymorphs = 871 meV per atom
mass density = 7.92 Mg/m³
size of the total moment = 1.10 μB per formula unit

Computed, not measured: a geometry-optimized MnNb4C structure at the GGA-PBE level of DFT. Values from VASP.

Quantum ESPRESSO input file:
```
&SYSTEM
  ibrav = 0, nat = 12, ntyp = 3
/
ATOMIC_SPECIES
Mn 54.94 Mn.upf
Nb 92.91 Nb.upf
C 12.01 C.upf
ATOMIC_POSITIONS angstrom
Mn 0.000 0.000 0.000
Mn -3.014 2.911 -0.906
Nb 0.029 1.397 5.021
Nb -1.262 3.726 3.418
Nb -3.095 0.996 3.941
Nb -2.408 1.150 0.597
Nb -1.561 4.467 0.186
Nb 0.716 1.550 1.676
Nb 1.853 4.349 0.278
Nb 2.152 3.608 3.510
C 0.409 2.571 3.406
C -2.788 -0.024 2.211
CELL_PARAMETERS angstrom
-6.211 0.317 -2.101
0.635 -0.364 6.523
2.970 5.529 -1.922
```

Computed properties:
density of states at the Fermi level = 13.38 states/eV/cell
DFT total energy = -9.256 eV/atom
mass density = 6.73 Mg/m³
size of the total moment = 0.00 μB per formula unit